(1)
The following is a DFT calculation (PBE) of a geometry-optimized AgPtAu2 structure.

Symmetry ... No. 12

Cell: 9.5267 2.8841 5.1019 Å, 90.00 99.51 90.00°
Atoms (fractional coordinates):
Ag1 0.0000 0.0000 0.0000
Ag2 0.5000 0.5000 0.0000
Pt1 0.0000 0.5000 0.5000
Pt2 0.5000 0.0000 0.5000
Au1 0.2462 0.0000 0.7462
Au2 0.2538 0.5000 0.2538
Au3 0.7462 0.5000 0.7462
Au4 0.7538 0.0000 0.2538

(2)
The following is a DFT calculation (PBE) of a geometry-optimized Ag7Pt2Au2 structure.

Symmetry ... No. 12

Cell: 5.4095 5.4095 6.9803 Å, 97.70 97.70 93.25°
Atoms (fractional coordinates):
Ag1 0.0000 0.0000 0.0000
Ag2 0.0839 0.4537 0.7944
Ag3 0.1528 0.1528 0.4176
Ag4 0.4537 0.0839 0.7944
Ag5 0.5463 0.9161 0.2056
Ag6 0.8472 0.8472 0.5824
Ag7 0.9161 0.5463 0.2056
Pt1 0.3233 0.6767 0.5000
Pt2 0.6767 0.3233 0.5000
Au1 0.3919 0.3919 0.1451
Au2 0.6081 0.6081 0.8549

(3)
The following is a DFT calculation (PBE) of a geometry-optimized AgPt4Au4 structure.

Symmetry ... No. 139

Cell: 6.5098 6.5098 6.5098 Å, 95.25 95.25 144.77°
Atoms (fractional coordinates):
Ag1 0.0000 0.0000 0.0000
Pt1 0.0000 0.3394 0.3394
Pt2 0.0000 0.6606 0.6606
Pt3 0.3394 0.0000 0.3394
Pt4 0.6606 0.0000 0.6606
Au1 0.3327 0.3327 0.6653
Au2 0.3327 0.6673 0.0000
Au3 0.6673 0.3327 0.0000
Au4 0.6673 0.6673 0.3347

(4)
The following is a DFT calculation (PBE) of a geometry-optimized Ag2Pt2Au structure.

Symmetry ... No. 127

Cell: 7.8944 7.8944 2.8756 Å, 90.00 90.00 90.00°
Atoms (fractional coordinates):
Ag1 0.1756 0.3244 0.0000
Ag2 0.3244 0.8244 0.0000
Ag3 0.6756 0.1756 0.0000
Ag4 0.8244 0.6756 0.0000
Pt1 0.1219 0.6219 0.5000
Pt2 0.3781 0.1219 0.5000
Pt3 0.6219 0.8781 0.5000
Pt4 0.8781 0.3781 0.5000
Au1 0.0000 0.0000 0.5000
Au2 0.5000 0.5000 0.5000

(5)
The following is a DFT calculation (PBE) of a geometry-optimized Ag8Pt2Au3 structure.

Symmetry ... No. 166

Cell: 10.5737 10.5737 10.5737 Å, 29.16 29.16 29.16°
Atoms (fractional coordinates):
Ag1 0.2258 0.2258 0.2258
Ag2 0.2306 0.2306 0.7294
Ag3 0.2306 0.7294 0.2306
Ag4 0.2706 0.7694 0.7694
Ag5 0.7294 0.2306 0.2306
Ag6 0.7694 0.2706 0.7694
Ag7 0.7694 0.7694 0.2706
Ag8 0.7742 0.7742 0.7742
Pt1 0.1394 0.1394 0.1394
Pt2 0.8606 0.8606 0.8606
Au1 0.3176 0.3176 0.3176
Au2 0.5000 0.5000 0.5000
Au3 0.6824 0.6824 0.6824

(6)
The following is a DFT calculation (PBE) of a geometry-optimized AgPtAu4 structure.

Symmetry ... No. 36

Cell: 7.6255 7.6255 9.6319 Å, 90.00 90.00 157.91°
Atoms (fractional coordinates):
Ag1 0.2192 0.7808 0.5000
Ag2 0.7808 0.2192 0.0000
Pt1 0.3349 0.6651 0.7515
Pt2 0.6651 0.3349 0.2515
Au1 0.0011 0.9989 0.7524
Au2 0.1148 0.8852 0.0066
Au3 0.3292 0.6708 0.2527
Au4 0.4454 0.5546 0.0006
Au5 0.5546 0.4454 0.5006
Au6 0.6708 0.3292 0.7527
Au7 0.8852 0.1148 0.5066
Au8 0.9989 0.0011 0.2524

(7)
The following is a DFT calculation (PBE) of a geometry-optimized Ag3PtAu structure.

Symmetry ... No. 64

Cell: 7.3257 7.3257 6.8943 Å, 90.00 90.00 85.27°
Atoms (fractional coordinates):
Ag1 0.0435 0.6532 0.1160
Ag2 0.0901 0.9099 0.8272
Ag3 0.1532 0.5435 0.6160
Ag4 0.3468 0.9565 0.1160
Ag5 0.4099 0.5901 0.3272
Ag6 0.4565 0.8468 0.6160
Ag7 0.5435 0.1532 0.3840
Ag8 0.5901 0.4099 0.6728
Ag9 0.6532 0.0435 0.8840
Ag10 0.8468 0.4565 0.3840
Ag11 0.9099 0.0901 0.1728
Ag12 0.9565 0.3468 0.8840
Pt1 0.1226 0.8774 0.4252
Pt2 0.3774 0.6226 0.9252
Pt3 0.6226 0.3774 0.0748
Pt4 0.8774 0.1226 0.5748
Au1 0.1997 0.3003 0.2500
Au2 0.3003 0.1997 0.7500
Au3 0.6997 0.8003 0.2500
Au4 0.8003 0.6997 0.7500

(8)
The following is a DFT calculation (PBE) of a geometry-optimized Ag2PtAu2 structure.

Symmetry ... No. 139

Cell: 5.1999 5.1999 7.9095 Å, 90.00 90.00 90.00°
Atoms (fractional coordinates):
Ag1 0.0000 0.5000 0.2500
Ag2 0.0000 0.5000 0.7500
Ag3 0.5000 0.0000 0.2500
Ag4 0.5000 0.0000 0.7500
Pt1 0.0000 0.0000 0.0000
Pt2 0.5000 0.5000 0.5000
Au1 0.0000 0.0000 0.3365
Au2 0.0000 0.0000 0.6635
Au3 0.5000 0.5000 0.1635
Au4 0.5000 0.5000 0.8365

(9)
The following is a DFT calculation (PBE) of a geometry-optimized Ag7Pt3Au structure.

Symmetry ... No. 156

Cell: 5.7356 5.7356 6.9954 Å, 90.00 90.00 120.00°
Atoms (fractional coordinates):
Ag1 0.0000 0.0000 0.0000
Ag2 0.0033 0.5017 0.0006
Ag3 0.1685 0.3370 0.6540
Ag4 0.1685 0.8315 0.6540
Ag5 0.4983 0.5017 0.0006
Ag6 0.4983 0.9967 0.0006
Ag7 0.6630 0.8315 0.6540
Pt1 0.3328 0.1664 0.3267
Pt2 0.8336 0.1664 0.3267
Pt3 0.8336 0.6672 0.3267
Au1 0.6667 0.3333 0.6529

(10)
The following is a DFT calculation (PBE) of a geometry-optimized Ag12Pt3Au5 structure.

Symmetry ... No. 230

Cell: 13.6066 13.6066 13.6066 Å, 109.47 109.47 109.47°
Atoms (fractional coordinates):
Ag1 0.0707 0.2299 0.1482
Ag2 0.0707 0.3408 0.9225
Ag3 0.0775 0.6482 0.4183
Ag4 0.0775 0.9293 0.6592
Ag5 0.0817 0.7299 0.6592
Ag6 0.0817 0.8518 0.4225
Ag7 0.1482 0.0707 0.2299
Ag8 0.1482 0.5775 0.9183
Ag9 0.1592 0.2299 0.5817
Ag10 0.1592 0.4293 0.5775
Ag11 0.2299 0.1482 0.0707
Ag12 0.2299 0.5817 0.1592
Ag13 0.2701 0.3408 0.9183
Ag14 0.2701 0.4293 0.3518
Ag15 0.3408 0.9183 0.2701
Ag16 0.3408 0.9225 0.0707
Ag17 0.3518 0.2701 0.4293
Ag18 0.3518 0.5817 0.9225
Ag19 0.4183 0.0775 0.6482
Ag20 0.4183 0.8408 0.7701
Ag21 0.4225 0.0817 0.8518
Ag22 0.4225 0.8408 0.5707
Ag23 0.4293 0.3518 0.2701
Ag24 0.4293 0.5775 0.1592
Ag25 0.5707 0.4225 0.8408
Ag26 0.5707 0.6482 0.7299
Ag27 0.5775 0.1592 0.4293
Ag28 0.5775 0.9183 0.1482
Ag29 0.5817 0.1592 0.2299
Ag30 0.5817 0.9225 0.3518
Ag31 0.6482 0.4183 0.0775
Ag32 0.6482 0.7299 0.5707
Ag33 0.6592 0.0775 0.9293
Ag34 0.6592 0.0817 0.7299
Ag35 0.7299 0.5707 0.6482
Ag36 0.7299 0.6592 0.0817
Ag37 0.7701 0.4183 0.8408
Ag38 0.7701 0.8518 0.9293
Ag39 0.8408 0.5707 0.4225
Ag40 0.8408 0.7701 0.4183
Ag41 0.8518 0.4225 0.0817
Ag42 0.8518 0.9293 0.7701
Ag43 0.9183 0.1482 0.5775
Ag44 0.9183 0.2701 0.3408
Ag45 0.9225 0.0707 0.3408
Ag46 0.9225 0.3518 0.5817
Ag47 0.9293 0.6592 0.0775
Ag48 0.9293 0.7701 0.8518
Pt1 0.1250 0.2500 0.3750
Pt2 0.1250 0.3750 0.7500
Pt3 0.2500 0.3750 0.1250
Pt4 0.2500 0.8750 0.6250
Pt5 0.3750 0.1250 0.2500
Pt6 0.3750 0.7500 0.1250
Pt7 0.6250 0.2500 0.8750
Pt8 0.6250 0.8750 0.7500
Pt9 0.7500 0.1250 0.3750
Pt10 0.7500 0.6250 0.8750
Pt11 0.8750 0.6250 0.2500
Pt12 0.8750 0.7500 0.6250
Au1 0.0000 0.0000 0.0000
Au2 0.0000 0.0000 0.5000
Au3 0.0000 0.5000 0.0000
Au4 0.0000 0.5000 0.5000
Au5 0.1250 0.7500 0.8750
Au6 0.1250 0.8750 0.2500
Au7 0.2500 0.1250 0.8750
Au8 0.2500 0.6250 0.3750
Au9 0.3750 0.2500 0.6250
Au10 0.3750 0.6250 0.7500
Au11 0.5000 0.0000 0.0000
Au12 0.5000 0.0000 0.5000
Au13 0.5000 0.5000 0.0000
Au14 0.5000 0.5000 0.5000
Au15 0.6250 0.3750 0.2500
Au16 0.6250 0.7500 0.3750
Au17 0.7500 0.3750 0.6250
Au18 0.7500 0.8750 0.1250
Au19 0.8750 0.1250 0.7500
Au20 0.8750 0.2500 0.1250

(11)
The following is a DFT calculation (PBE) of a geometry-optimized Ag2PtAu2 structure.

Symmetry ... No. 139

Cell: 3.7329 3.7329 14.2119 Å, 90.00 90.00 90.00°
Atoms (fractional coordinates):
Ag1 0.0000 0.0000 0.0938
Ag2 0.0000 0.0000 0.9062
Ag3 0.5000 0.5000 0.4062
Ag4 0.5000 0.5000 0.5938
Pt1 0.0000 0.0000 0.5000
Pt2 0.5000 0.5000 0.0000
Au1 0.0000 0.5000 0.2500
Au2 0.0000 0.5000 0.7500
Au3 0.5000 0.0000 0.2500
Au4 0.5000 0.0000 0.7500

(12)
The following is a DFT calculation (PBE) of a geometry-optimized Ag5PtAu6 structure.

Symmetry ... No. 12

Cell: 7.7206 7.7206 4.1399 Å, 105.39 105.39 64.98°
Atoms (fractional coordinates):
Ag1 0.0000 0.0000 0.0000
Ag2 0.1648 0.1648 0.6647
Ag3 0.3318 0.3318 0.3318
Ag4 0.6682 0.6682 0.6682
Ag5 0.8352 0.8352 0.3353
Pt1 0.5000 0.5000 0.0000
Au1 0.0875 0.5818 0.8346
Au2 0.2558 0.7442 0.5000
Au3 0.4182 0.9125 0.1654
Au4 0.5818 0.0875 0.8346
Au5 0.7442 0.2558 0.5000
Au6 0.9125 0.4182 0.1654

(13)
The following is a DFT calculation (PBE) of a geometry-optimized Ag2Pt4Au5 structure.

Symmetry ... No. 2

Cell: 4.9451 5.0539 7.6449 Å, 90.72 96.07 99.27°
Atoms (fractional coordinates):
Ag1 0.0435 0.0933 0.1830
Ag2 0.9565 0.9067 0.8170
Pt1 0.2295 0.4584 0.9144
Pt2 0.3156 0.6352 0.2605
Pt3 0.6844 0.3648 0.7395
Pt4 0.7705 0.5416 0.0856
Au1 0.1377 0.2782 0.5550
Au2 0.4129 0.8151 0.6312
Au3 0.5000 0.0000 0.0000
Au4 0.5871 0.1849 0.3688
Au5 0.8623 0.7218 0.4450

(14)
The following is a DFT calculation (PBE) of a geometry-optimized Ag6PtAu2 structure.

Symmetry ... No. 2

Cell: 5.0805 7.7577 8.6735 Å, 71.91 85.44 77.07°
Atoms (fractional coordinates):
Ag1 0.0254 0.1987 0.4439
Ag2 0.1921 0.3625 0.1154
Ag3 0.2461 0.7486 0.0027
Ag4 0.3664 0.5253 0.7782
Ag5 0.4145 0.9174 0.6673
Ag6 0.4687 0.3093 0.5537
Ag7 0.5313 0.6907 0.4463
Ag8 0.5855 0.0826 0.3327
Ag9 0.6336 0.4747 0.2218
Ag10 0.7539 0.2514 0.9973
Ag11 0.8079 0.6375 0.8846
Ag12 0.9746 0.8013 0.5561
Pt1 0.0763 0.5821 0.3367
Pt2 0.9237 0.4179 0.6633
Au1 0.1406 0.9682 0.2281
Au2 0.3023 0.1410 0.8904
Au3 0.6977 0.8590 0.1096
Au4 0.8594 0.0318 0.7719

(15)
The following is a DFT calculation (PBE) of a geometry-optimized Ag4PtAu3 structure.

Symmetry ... No. 12

Cell: 23.7625 2.8300 4.6679 Å, 90.00 97.69 90.00°
Atoms (fractional coordinates):
Ag1 0.0999 0.0000 0.1798
Ag2 0.2103 0.5000 0.2567
Ag3 0.2897 0.0000 0.7433
Ag4 0.4001 0.5000 0.8202
Ag5 0.5999 0.5000 0.1798
Ag6 0.7103 0.0000 0.2567
Ag7 0.7897 0.5000 0.7433
Ag8 0.9001 0.0000 0.8202
Pt1 0.0000 0.5000 0.0000
Pt2 0.5000 0.0000 0.0000
Au1 0.0000 0.0000 0.5000
Au2 0.1688 0.0000 0.7299
Au3 0.3312 0.5000 0.2701
Au4 0.5000 0.5000 0.5000
Au5 0.6688 0.5000 0.7299
Au6 0.8312 0.0000 0.2701

(16)
The following is a DFT calculation (PBE) of a geometry-optimized Ag6PtAu5 structure.

Symmetry ... No. 12

Cell: 7.7006 7.7006 4.1302 Å, 105.44 105.44 105.40°
Atoms (fractional coordinates):
Ag1 0.0831 0.4142 0.7487
Ag2 0.2475 0.2475 0.2477
Ag3 0.4142 0.0831 0.7487
Ag4 0.5858 0.9169 0.2513
Ag5 0.7525 0.7525 0.7523
Ag6 0.9169 0.5858 0.2513
Pt1 0.0000 0.0000 0.5000
Au1 0.1645 0.8355 0.0000
Au2 0.3329 0.6671 0.5000
Au3 0.5000 0.5000 0.0000
Au4 0.6671 0.3329 0.5000
Au5 0.8355 0.1645 0.0000

(17)
The following is a DFT calculation (PBE) of a geometry-optimized AgPtAu2 structure.

Symmetry ... No. 10

Cell: 2.8783 4.0649 5.9055 Å, 90.00 90.72 90.00°
Atoms (fractional coordinates):
Ag1 0.0000 0.0000 0.0000
Pt1 0.0000 0.0000 0.5000
Au1 0.5000 0.5000 0.2543
Au2 0.5000 0.5000 0.7457

(18)
The following is a DFT calculation (PBE) of a geometry-optimized AgPtAu4 structure.

Symmetry ... No. 65

Cell: 4.1898 12.1443 4.1301 Å, 90.00 90.00 90.00°
Atoms (fractional coordinates):
Ag1 0.0000 0.0000 0.0000
Ag2 0.5000 0.5000 0.0000
Pt1 0.0000 0.5000 0.5000
Pt2 0.5000 0.0000 0.5000
Au1 0.0000 0.1654 0.5000
Au2 0.0000 0.3368 0.0000
Au3 0.0000 0.6632 0.0000
Au4 0.0000 0.8346 0.5000
Au5 0.5000 0.1632 0.0000
Au6 0.5000 0.3346 0.5000
Au7 0.5000 0.6654 0.5000
Au8 0.5000 0.8368 0.0000

(19)
The following is a DFT calculation (PBE) of a geometry-optimized Ag2PtAu2 structure.

Symmetry ... No. 127

Cell: 6.9653 6.9653 3.9185 Å, 90.00 90.00 90.00°
Atoms (fractional coordinates):
Ag1 0.1651 0.3349 0.0000
Ag2 0.3349 0.8349 0.0000
Ag3 0.6651 0.1651 0.0000
Ag4 0.8349 0.6651 0.0000
Pt1 0.0000 0.0000 0.5000
Pt2 0.5000 0.5000 0.5000
Au1 0.1384 0.6384 0.5000
Au2 0.3616 0.1384 0.5000
Au3 0.6384 0.8616 0.5000
Au4 0.8616 0.3616 0.5000

In the order shown, the computed magnetic moment values come out to 0.0; 0.0; 0.0; 0.0; 0.0; 0.0; 0.0; 0.0; 0.0; 0.0; 0.0; 0.0; 0.0; 0.0; 0.0; 0.0; 0.0; 0.0; 0.0 μB per formula unit.
In the order shown, the computed ΔH_f (0 K) values come out to 0.005; 0.053; 0.027; 0.225; 0.252; 0.007; 0.166; 0.499; 0.097; 0.473; 0.359; -0.029; 0.000; -0.012; 0.075; -0.036; 0.008; 0.000; 0.179 eV/atom.